1.
# Zr2CoIr

A geometry-optimized Zr2CoIr structure (PBEsol, Alexandria).

It has space group Cmmm (No. 65), with a = 6.411 Å, b = 6.427 Å, c = 3.221 Å, α = 90.00°, β = 90.00° and γ = 90.00°. The distinct sites, in fractional coordinates, are Zr at (0.250, 0.250, 0.000), Co at (0.000, 0.000, 0.500) and Ir at (0.000, 0.500, 0.500).

The energy of formation comes out at -0.55 eV/atom.



2.
# Si2PW

A geometry-optimized Si2PW structure (PBEsol, Alexandria).

It has space group P4/mmm (No. 123), with a = 2.877 Å, b = 2.877 Å, c = 6.822 Å, α = 90.00°, β = 90.00° and γ = 90.00°. The distinct sites, in fractional coordinates, are Si at (0.000, 0.000, 0.244), P at (0.500, 0.500, 0.500) and W at (0.500, 0.500, 0.000).

As for the formation energy (no corrections): 1.4 eV per formula unit.